[1]
# BeGeSbW, relaxed, DFT GGA-PBE
# - E_form (uncorrected): 0.306 eV per atom
# - Excess energy over the best structure of this formula in the dataset: 0.0837 eV per atom
# - DOS(E_F): 0.60 states/eV/f.u.
data_BeGeSbW
_space_group_name_H-M_alt 'C 1 m 1'
_space_group_IT_number 8
_space_group_name_Hall 'C -2y'
_cell_length_a 9.2119
_cell_length_b 3.5810
_cell_length_c 4.9788
_cell_angle_alpha 90.00
_cell_angle_beta 120.85
_cell_angle_gamma 90.00
loop_
_atom_site_label
_atom_site_fract_x
_atom_site_fract_y
_atom_site_fract_z
Be1 0.0000 0.0000 0.0000
Ge1 0.2124 0.5000 0.4849
Sb1 0.2952 0.0000 0.0615
W1 0.0043 0.0000 0.4984



[2]
# SrRe4Cl, relaxed, DFT GGA-PBE
# - E_form (uncorrected): 1.004 eV per atom
# - DOS(E_F): 4.98 states/eV/f.u.
data_SrRe4Cl
_space_group_name_H-M_alt 'F -4 3 m'
_space_group_IT_number 216
_space_group_name_Hall 'F -4 2 3'
_cell_length_a 7.6846
_cell_length_b 7.6846
_cell_length_c 7.6846
_cell_angle_alpha 90.00
_cell_angle_beta 90.00
_cell_angle_gamma 90.00
loop_
_atom_site_label
_atom_site_fract_x
_atom_site_fract_y
_atom_site_fract_z
Sr1 0.0000 0.0000 0.0000
Re1 0.1236 0.1236 0.3764
Cl1 0.2500 0.2500 0.7500



[3]
# Ti2AlBi, relaxed, DFT GGA-PBE
# - Excess energy over the best structure of this formula in the dataset: 0.1432 eV per atom
# - DOS(E_F): 6.05 states/eV/f.u.
data_Ti2AlBi
_space_group_name_H-M_alt 'F m -3 m'
_space_group_IT_number 225
_space_group_name_Hall '-F 4 2 3'
_cell_length_a 6.7516
_cell_length_b 6.7516
_cell_length_c 6.7516
_cell_angle_alpha 90.00
_cell_angle_beta 90.00
_cell_angle_gamma 90.00
loop_
_atom_site_label
_atom_site_fract_x
_atom_site_fract_y
_atom_site_fract_z
Ti1 0.2500 0.2500 0.2500
Al1 0.0000 0.0000 0.0000
Bi1 0.0000 0.0000 0.5000



[4]
# Tm2LuFe, relaxed, DFT GGA-PBE
# - Excess energy over the best structure of this formula in the dataset: 0.0000 eV per atom
# - DOS(E_F): 4.39 states/eV/f.u.
data_Tm2LuFe
_space_group_name_H-M_alt 'P 4/m m m'
_space_group_IT_number 123
_space_group_name_Hall '-P 4 2'
_cell_length_a 3.3092
_cell_length_b 3.3092
_cell_length_c 8.7484
_cell_angle_alpha 90.00
_cell_angle_beta 90.00
_cell_angle_gamma 90.00
loop_
_atom_site_label
_atom_site_fract_x
_atom_site_fract_y
_atom_site_fract_z
Tm1 0.0000 0.0000 0.1814
Lu1 0.5000 0.5000 0.5000
Fe1 0.5000 0.5000 0.0000



- What is the formula in the fourth record?
  Tm2LuFe



- What is the DOS(E_F) in the second record?
  4.98 states/eV/f.u.



- Look up the DOS(E_F) of the third one.
  6.05 states/eV/f.u.



Copy entry 3 word for word.
# Ti2AlBi, relaxed, DFT GGA-PBE
# - Excess energy over the best structure of this formula in the dataset: 0.1432 eV per atom
# - DOS(E_F): 6.05 states/eV/f.u.
data_Ti2AlBi
_space_group_name_H-M_alt 'F m -3 m'
_space_group_IT_number 225
_space_group_name_Hall '-F 4 2 3'
_cell_length_a 6.7516
_cell_length_b 6.7516
_cell_length_c 6.7516
_cell_angle_alpha 90.00
_cell_angle_beta 90.00
_cell_angle_gamma 90.00
loop_
_atom_site_label
_atom_site_fract_x
_atom_site_fract_y
_atom_site_fract_z
Ti1 0.2500 0.2500 0.2500
Al1 0.0000 0.0000 0.0000
Bi1 0.0000 0.0000 0.5000